An optimized crystal structure of TlHgI2Cl, computed with PBE.

a = 5.9927 Å, b = 5.9927 Å, c = 5.3074 Å
α = 90.00°, β = 90.00°, γ = 90.00°
Fractional coordinates of all 5 atoms:
Tl 0.0000 0.0000 0.0000
Hg 0.5000 0.5000 0.5000
I 0.0000 0.5000 0.5000
I 0.5000 0.0000 0.5000
Cl 0.5000 0.5000 0.0000

Values from the calculation:
Total energy, eV per atom: -1.96
DOS(E_F), states/eV/atom: 0.12
Total moment, μB per formula unit: 0.000


An optimized crystal structure of Zr4AsRu, computed with PBE.

a = 5.5760 Å, b = 5.5760 Å, c = 5.5760 Å
α = 60.00°, β = 60.00°, γ = 60.00°
Fractional coordinates of all 6 atoms:
Zr 0.3758 0.3758 0.3758
Zr 0.3758 0.3758 0.8727
Zr 0.3758 0.8727 0.3758
Zr 0.8727 0.3758 0.3758
As 0.0000 0.0000 0.0000
Ru 0.7500 0.7500 0.7500

Values from the calculation:
Total energy, eV per atom: -7.61
ΔH_f (0 K), eV/atom: 0.41
DOS(E_F), states/eV/atom: 1.22
Total moment, μB per formula unit: 0.000


An optimized crystal structure of BaHgTe2, computed with PBE.

a = 4.6510 Å, b = 4.6510 Å, c = 7.3407 Å
α = 90.00°, β = 90.00°, γ = 90.00°
Fractional coordinates of all 4 atoms:
Ba 0.0000 0.0000 0.0000
Hg 0.5000 0.5000 0.4896
Te 0.0000 0.0000 0.5281
Te 0.5000 0.5000 0.0958

Values from the calculation:
Total energy, eV per atom: -2.87
DOS(E_F), states/eV/atom: 0.18
Total moment, μB per formula unit: 0.000


An optimized crystal structure of Hg2PtRhBr, computed with PBE.

a = 5.2497 Å, b = 5.2497 Å, c = 5.1144 Å
α = 90.00°, β = 90.00°, γ = 90.00°
Fractional coordinates of all 5 atoms:
Hg 0.0000 0.5000 0.0000
Hg 0.5000 0.0000 0.0000
Pt 0.0000 0.0000 0.0000
Rh 0.5000 0.5000 0.5000
Br 0.0000 0.0000 0.5000

Values from the calculation:
Total energy, eV per atom: -2.34
DOS(E_F), states/eV/atom: 1.06
Total moment, μB per formula unit: 1.363


An optimized crystal structure of ReHg2As, computed with PBE.

a = 5.6169 Å, b = 5.6169 Å, c = 5.6169 Å
α = 138.89°, β = 138.89°, γ = 59.55°
Fractional coordinates of all 4 atoms:
Re 0.0000 0.0000 0.0000
Hg 0.2500 0.7500 0.5000
Hg 0.7500 0.2500 0.5000
As 0.5000 0.5000 0.0000

Values from the calculation:
Total energy, eV per atom: -3.50
ΔH_f (0 K), eV/atom: 0.92
DOS(E_F), states/eV/atom: 0.55
Total moment, μB per formula unit: 0.745


An optimized crystal structure of HfOs2I, computed with PBE.

a = 4.6960 Å, b = 4.6960 Å, c = 4.6960 Å
α = 60.00°, β = 60.00°, γ = 60.00°
Fractional coordinates of all 4 atoms:
Hf 0.0000 0.0000 0.0000
Os 0.2500 0.2500 0.2500
Os 0.7500 0.7500 0.7500
I 0.5000 0.5000 0.5000

Values from the calculation:
Total energy, eV per atom: -7.63
Distance to the lowest polymorph of the same formula, kJ per mole of atoms: 0.0
DOS(E_F), states/eV/atom: 1.22
Total moment, μB per formula unit: 0.959


Question: What is the formula in the second record?
Answer: Zr4AsRu